one) VASP calculation (PBE) on a relaxed structure of MgAlTl3.

Values from the calculation:
N(E_F) (states/eV/f.u.): 4.881
Space group: Pm-3m
Theoretical density (Mg/m³): 6.6

Cell: 5.497 5.497 5.497 Å, 90.00 90.00 90.00°
Sites, in units of the cell vectors:
Al 0.500 0.500 0.500
Tl 0.500 0.000 0.000
Tl 0.000 0.000 0.500
Tl 0.000 0.500 0.000
Mg 0.000 0.000 0.000

---

two) VASP calculation (PBE) on a relaxed structure of MgAlTl3.

Values from the calculation:
N(E_F) (states/eV/f.u.): 1.826
Space group: Pm-3m
Theoretical density (Mg/m³): 6.8

Cell: 5.444 5.444 5.444 Å, 90.00 90.00 90.00°
Sites, in units of the cell vectors:
Al 0.000 0.000 0.000
Tl 0.000 0.500 0.000
Tl 0.500 0.000 0.000
Tl 0.000 0.000 0.500
Mg 0.500 0.500 0.500

---

Stability, highest: two)

---

one) VASP calculation (PBE) on a relaxed structure of Mg2AlTl2.

Values from the calculation:
N(E_F) (states/eV/f.u.): 2.033
Space group: P4/mbm
Theoretical density (Mg/m³): 6.5

Cell: 8.038 8.038 3.829 Å, 90.00 90.00 90.00°
Sites, in units of the cell vectors:
Mg 0.349 0.151 0.500
Mg 0.651 0.849 0.500
Mg 0.151 0.651 0.500
Mg 0.849 0.349 0.500
Al 0.000 0.000 0.000
Al 0.500 0.500 0.000
Tl 0.349 0.849 0.000
Tl 0.651 0.151 0.000
Tl 0.849 0.651 0.000
Tl 0.151 0.349 0.000

---

two) VASP calculation (PBE) on a relaxed structure of Mg2AlTl2.

Values from the calculation:
N(E_F) (states/eV/f.u.): 1.880
Space group: P4/mbm
Theoretical density (Mg/m³): 6.5

Cell: 8.117 8.117 3.782 Å, 90.00 90.00 90.00°
Sites, in units of the cell vectors:
Tl 0.834 0.334 0.500
Tl 0.666 0.834 0.500
Tl 0.166 0.666 0.500
Tl 0.334 0.166 0.500
Mg 0.137 0.363 0.000
Mg 0.863 0.637 0.000
Mg 0.363 0.863 0.000
Mg 0.637 0.137 0.000
Al 0.500 0.500 0.000
Al 0.000 0.000 0.000

---

Stability, highest: two)

---

one) VASP calculation (PBE) on a relaxed structure of MgAlV.

Values from the calculation:
N(E_F) (states/eV/f.u.): 1.356
Space group: Cm
Theoretical density (Mg/m³): 3.4

Cell: 6.299 3.476 9.677 Å, 90.00 109.64 90.00°
Sites, in units of the cell vectors:
Mg 0.553 0.500 0.099
Mg 0.725 0.500 0.421
Mg 0.725 0.000 0.921
Mg 0.553 0.000 0.599
Al 0.217 0.000 0.926
Al 0.913 0.000 0.253
Al 0.913 0.500 0.753
Al 0.217 0.500 0.426
V 0.083 0.500 0.101
V 0.346 0.000 0.253
V 0.083 0.000 0.601
V 0.346 0.500 0.753

---

two) VASP calculation (PBE) on a relaxed structure of MgAlV.

Values from the calculation:
N(E_F) (states/eV/f.u.): 1.953
Space group: P2_1/m
Theoretical density (Mg/m³): 3.4

Cell: 2.807 4.418 8.072 Å, 90.00 93.94 90.00°
Sites, in units of the cell vectors:
Al 0.466 0.250 0.797
Al 0.534 0.750 0.203
Mg 0.748 0.250 0.411
Mg 0.252 0.750 0.589
V 0.107 0.250 0.081
V 0.893 0.750 0.919

---

Stability, highest: two)

---

one) VASP calculation (PBE) on a relaxed structure of MgAlV.

Values from the calculation:
N(E_F) (states/eV/f.u.): 2.305
Space group: Fmmm
Theoretical density (Mg/m³): 3.1

Cell: 4.480 5.268 5.571 Å, 80.16 66.29 64.84°
Sites, in units of the cell vectors:
V 0.250 0.500 0.500
V 0.750 0.500 0.500
Al 0.326 0.000 0.348
Al 0.674 0.000 0.652
Mg 0.155 0.690 0.000
Mg 0.845 0.310 0.000

---

two) VASP calculation (PBE) on a relaxed structure of MgAlV.

Values from the calculation:
N(E_F) (states/eV/f.u.): 1.912
Space group: C2/m
Theoretical density (Mg/m³): 3.4

Cell: 7.042 3.109 9.718 Å, 90.00 108.68 90.00°
Sites, in units of the cell vectors:
V 0.064 0.500 0.679
V 0.936 0.500 0.321
V 0.936 0.000 0.821
V 0.064 0.000 0.179
Mg 0.402 0.500 0.339
Mg 0.598 0.000 0.161
Mg 0.598 0.500 0.661
Mg 0.402 0.000 0.839
Al 0.206 0.000 0.508
Al 0.794 0.500 0.992
Al 0.794 0.000 0.492
Al 0.206 0.500 0.008

---

three) VASP calculation (PBE) on a relaxed structure of MgAlV.

Values from the calculation:
N(E_F) (states/eV/f.u.): 2.143
Space group: Pm
Theoretical density (Mg/m³): 3.4

Cell: 2.828 4.125 8.531 Å, 90.00 92.88 90.00°
Sites, in units of the cell vectors:
V 0.561 0.000 0.646
V 0.513 0.000 0.928
Mg 0.530 0.000 0.267
Mg 0.048 0.500 0.459
Al 0.043 0.500 0.778
Al 0.020 0.500 0.084

---

Stability, highest: two)

---

one) VASP calculation (PBE) on a relaxed structure of Mg2AlW2.

Values from the calculation:
N(E_F) (states/eV/f.u.): 5.218
Space group: P4/mbm
Theoretical density (Mg/m³): 8.6

Cell: 7.478 7.478 3.047 Å, 90.00 90.00 90.00°
Sites, in units of the cell vectors:
Mg 0.622 0.122 0.000
Mg 0.378 0.878 0.000
Mg 0.878 0.622 0.000
Mg 0.122 0.378 0.000
W 0.822 0.322 0.500
W 0.178 0.678 0.500
W 0.678 0.822 0.500
W 0.322 0.178 0.500
Al 0.500 0.500 0.000
Al 0.000 0.000 0.000

---

two) VASP calculation (PBE) on a relaxed structure of Mg2AlW2.

Values from the calculation:
N(E_F) (states/eV/f.u.): 4.679
Space group: I4/mmm
Theoretical density (Mg/m³): 7.2

Cell: 3.669 3.669 7.989 Å, 76.72 76.72 90.00°
Sites, in units of the cell vectors:
Mg 0.401 0.401 0.198
Mg 0.599 0.599 0.802
W 0.250 0.750 0.500
W 0.750 0.250 0.500
Al 0.000 0.000 0.000

---

Stability, highest: two)

---

one) VASP calculation (PBE) on a relaxed structure of MgAlW3.

Values from the calculation:
N(E_F) (states/eV/f.u.): 6.797
Space group: Pm-3m
Theoretical density (Mg/m³): 10.5

Cell: 4.567 4.567 4.567 Å, 90.00 90.00 90.00°
Sites, in units of the cell vectors:
W 0.000 0.000 0.500
W 0.000 0.500 0.000
W 0.500 0.000 0.000
Mg 0.000 0.000 0.000
Al 0.500 0.500 0.500

---

two) VASP calculation (PBE) on a relaxed structure of MgAlW3.

Values from the calculation:
N(E_F) (states/eV/f.u.): 7.693
Space group: Pm-3m
Theoretical density (Mg/m³): 10.3

Cell: 4.601 4.601 4.601 Å, 90.00 90.00 90.00°
Sites, in units of the cell vectors:
W 0.000 0.500 0.000
W 0.500 0.000 0.000
W 0.000 0.000 0.500
Al 0.000 0.000 0.000
Mg 0.500 0.500 0.500

---

Stability, highest: two)

---

one) VASP calculation (PBE) on a relaxed structure of YMg14Al.

Values from the calculation:
N(E_F) (states/eV/f.u.): 8.121
Space group: Amm2
Theoretical density (Mg/m³): 2.0

Cell: 6.475 6.475 10.354 Å, 90.00 90.00 121.56°
Sites, in units of the cell vectors:
Mg 0.673 0.327 0.265
Mg 0.335 0.172 0.000
Mg 0.168 0.331 0.751
Mg 0.669 0.832 0.249
Mg 0.167 0.833 0.245
Mg 0.332 0.668 0.000
Mg 0.168 0.331 0.249
Mg 0.833 0.679 0.500
Mg 0.673 0.327 0.735
Mg 0.167 0.833 0.755
Mg 0.321 0.167 0.500
Mg 0.828 0.665 0.000
Mg 0.829 0.171 0.000
Mg 0.669 0.832 0.751
Al 0.840 0.160 0.500
Y 0.327 0.673 0.500

---

two) VASP calculation (PBE) on a relaxed structure of YMg14Al.

Values from the calculation:
N(E_F) (states/eV/f.u.): 10.523
Space group: P-6m2
Theoretical density (Mg/m³): 2.0

Cell: 6.487 6.487 10.192 Å, 90.00 90.00 120.00°
Sites, in units of the cell vectors:
Mg 0.671 0.835 0.241
Mg 0.165 0.835 0.759
Mg 0.165 0.329 0.241
Mg 0.992 0.496 0.000
Mg 0.165 0.835 0.241
Mg 0.494 0.988 0.500
Mg 0.504 0.496 0.000
Mg 0.494 0.506 0.500
Mg 0.667 0.333 0.258
Mg 0.671 0.835 0.759
Mg 0.012 0.506 0.500
Mg 0.667 0.333 0.742
Mg 0.165 0.329 0.759
Mg 0.504 0.008 0.000
Y 0.000 0.000 0.500
Al 0.000 0.000 0.000

---

Stability, highest: one)

---

one) VASP calculation (PBE) on a relaxed structure of MgAl2Zn6.

Values from the calculation:
N(E_F) (states/eV/f.u.): 2.938
Space group: C2/m
Theoretical density (Mg/m³): 5.2

Cell: 3.157 7.414 7.579 Å, 119.28 102.70 90.00°
Sites, in units of the cell vectors:
Zn 0.328 0.999 0.647
Zn 0.328 0.648 0.647
Zn 0.500 0.674 0.000
Zn 0.672 0.001 0.353
Zn 0.500 0.326 0.000
Zn 0.672 0.352 0.353
Mg 0.000 0.000 0.000
Al 0.150 0.643 0.286
Al 0.850 0.357 0.714

---

two) VASP calculation (PBE) on a relaxed structure of MgAl2Zn6.

Values from the calculation:
N(E_F) (states/eV/f.u.): 3.213
Space group: Immm
Theoretical density (Mg/m³): 4.9

Cell: 4.416 7.170 7.170 Å, 47.93 72.07 72.07°
Sites, in units of the cell vectors:
Zn 0.000 0.223 0.777
Zn 0.200 0.055 0.546
Zn 0.800 0.945 0.454
Zn 0.200 0.546 0.055
Zn 0.000 0.777 0.223
Zn 0.800 0.454 0.945
Al 0.387 0.113 0.113
Al 0.613 0.887 0.887
Mg 0.500 0.500 0.500

---

Stability, highest: one)

---

one) VASP calculation (PBE) on a relaxed structure of MgAl3Zn.

Values from the calculation:
N(E_F) (states/eV/f.u.): 2.027
Space group: P2_1/m
Theoretical density (Mg/m³): 3.1

Cell: 5.219 5.463 6.526 Å, 90.00 75.34 90.00°
Sites, in units of the cell vectors:
Mg 0.347 0.250 0.686
Mg 0.653 0.750 0.314
Al 0.200 0.001 0.124
Al 0.200 0.499 0.124
Al 0.800 0.501 0.876
Al 0.800 0.999 0.876
Al 0.906 0.250 0.485
Al 0.094 0.750 0.515
Zn 0.596 0.250 0.231
Zn 0.404 0.750 0.769

---

two) VASP calculation (PBE) on a relaxed structure of MgAl3Zn.

Values from the calculation:
N(E_F) (states/eV/f.u.): 1.401
Space group: P2_1/m
Theoretical density (Mg/m³): 3.1

Cell: 5.030 5.431 7.081 Å, 90.00 110.93 90.00°
Sites, in units of the cell vectors:
Al 0.713 0.700 0.474
Al 0.173 0.948 0.373
Al 0.321 0.200 0.087
Al 0.862 0.448 0.188
Al 0.713 0.195 0.474
Al 0.321 0.695 0.087
Zn 0.147 0.948 0.738
Zn 0.887 0.448 0.822
Mg 0.737 0.948 0.931
Mg 0.297 0.448 0.630

---

three) VASP calculation (PBE) on a relaxed structure of MgAl3Zn.

Values from the calculation:
N(E_F) (states/eV/f.u.): 2.103
Space group: Pm-3m
Theoretical density (Mg/m³): 2.6

Cell: 4.805 4.805 4.805 Å, 90.00 90.00 90.00°
Sites, in units of the cell vectors:
Al 0.000 0.500 0.000
Al 0.000 0.000 0.500
Al 0.500 0.000 0.000
Mg 0.500 0.500 0.500
Zn 0.000 0.000 0.000

---

four) VASP calculation (PBE) on a relaxed structure of MgAl3Zn.

Values from the calculation:
N(E_F) (states/eV/f.u.): 2.400
Space group: Pm-3m
Theoretical density (Mg/m³): 2.1

Cell: 5.121 5.121 5.121 Å, 90.00 90.00 90.00°
Sites, in units of the cell vectors:
Al 0.000 0.000 0.500
Al 0.000 0.500 0.000
Al 0.500 0.000 0.000
Zn 0.500 0.500 0.500
Mg 0.000 0.000 0.000

---

Stability, highest: one)

---

one) VASP calculation (PBE) on a relaxed structure of MgAl4Zn.

Values from the calculation:
N(E_F) (states/eV/f.u.): 2.326
Space group: Cmc2_1
Theoretical density (Mg/m³): 3.2

Cell: 4.007 6.484 8.356 Å, 90.00 90.00 108.00°
Sites, in units of the cell vectors:
Al 0.166 0.331 0.551
Al 0.336 0.673 0.801
Al 0.994 0.988 0.802
Al 0.834 0.669 0.051
Al 0.006 0.012 0.302
Al 0.500 0.999 0.553
Al 0.500 0.001 0.053
Al 0.664 0.327 0.301
Zn 0.168 0.335 0.054
Zn 0.832 0.665 0.554
Mg 0.667 0.333 0.805
Mg 0.333 0.667 0.305

---

two) VASP calculation (PBE) on a relaxed structure of MgAl4Zn.

Values from the calculation:
N(E_F) (states/eV/f.u.): 2.575
Space group: P2/m
Theoretical density (Mg/m³): 3.2

Cell: 4.294 10.321 8.685 Å, 147.28 90.00 90.00°
Sites, in units of the cell vectors:
Zn 0.500 0.750 0.250
Zn 0.500 0.250 0.750
Al 0.000 0.499 0.837
Al 0.500 0.250 0.429
Al 0.500 0.250 0.071
Al 0.500 0.750 0.571
Al 0.000 0.001 0.663
Al 0.000 0.999 0.337
Al 0.500 0.750 0.929
Al 0.000 0.501 0.163
Mg 0.000 0.000 0.000
Mg 0.000 0.500 0.500

---

Stability, highest: one)